The following is a DFT calculation (GGA-PBE) of a geometry-optimized Sr2Ag2RuO6 structure.

## Properties
raw formation energy = -1346 meV/atom
Fermi-level density of states = 6.009 states/eV/cell
space-group type = C2/m

Cell lengths 6.158, 6.158, 6.386 Å; angles 85.68, 85.68, 120.67 degrees
Last column: magnetic moment on the atom in μB.
Positions (direct):
Sr1 0.334 0.666 0.500  0.01
Sr2 0.666 0.334 0.500  0.01
Ag1 0.863 0.137 0.000  0.01
Ag2 0.137 0.863 0.000  0.01
Ru1 0.000 0.000 0.500  1.27
O1 0.713 0.713 0.660  0.14
O2 0.966 0.242 0.675  0.05
O3 0.287 0.287 0.340  0.14
O4 0.242 0.966 0.675  0.05
O5 0.034 0.758 0.325  0.05
O6 0.758 0.034 0.325  0.05